A relaxed Sr3USb4 crystal. Source: Alexandria via LeMat-Bulk, functional PBE-GGA.

a = 8.059 Å, b = 9.342 Å, c = 8.006 Å
α = 90.00°, β = 109.84°, γ = 90.00°
Fractional coordinates of all 16 atoms:
Sr (0.000, 0.118, 0.250)
Sr (0.000, 0.376, 0.750)
Sr (0.000, 0.624, 0.250)
Sr (0.000, 0.882, 0.750)
Sr (0.500, 0.122, 0.750)
Sr (0.500, 0.878, 0.250)
U (0.500, 0.372, 0.250)
U (0.500, 0.628, 0.750)
Sb (0.266, 0.148, 0.023)
Sb (0.266, 0.852, 0.523)
Sb (0.289, 0.394, 0.499)
Sb (0.289, 0.606, 0.999)
Sb (0.711, 0.394, 0.001)
Sb (0.711, 0.606, 0.501)
Sb (0.734, 0.148, 0.477)
Sb (0.734, 0.852, 0.977)

Results
Crystal system: monoclinic
Formation energy from raw total energies in eV per atom: -0.73
Space-group type: P2/c
ρ in g/cm³: 5.79


A relaxed SrV3Sb crystal. Source: Alexandria via LeMat-Bulk, functional PBE-GGA.

a = 5.221 Å, b = 5.221 Å, c = 5.221 Å
α = 90.00°, β = 90.00°, γ = 90.00°
Fractional coordinates of all 5 atoms:
Sr (0.000, 0.000, 0.000)
V (0.000, 0.500, 0.500)
V (0.500, 0.000, 0.500)
V (0.500, 0.500, 0.000)
Sb (0.500, 0.500, 0.500)

Results
Crystal system: cubic
Formation energy from raw total energies in eV per atom: 1.00
Space-group type: Pm-3m
ρ in g/cm³: 4.23
Fermi-level density of states in states/eV/cell: 5.75


A relaxed SrVSb2 crystal. Source: Alexandria via LeMat-Bulk, functional PBE-GGA.

a = 5.271 Å, b = 5.271 Å, c = 5.271 Å
α = 60.00°, β = 60.00°, γ = 60.00°
Fractional coordinates of all 4 atoms:
Sr (0.000, 0.000, 0.000)
V (0.500, 0.500, 0.500)
Sb (0.250, 0.250, 0.250)
Sb (0.750, 0.750, 0.750)

Results
Crystal system: cubic
Formation energy from raw total energies in eV per atom: -0.11
Space-group type: Fm-3m
ρ in g/cm³: 6.13
Fermi-level density of states in states/eV/cell: 2.75


A relaxed SrVSb3 crystal. Source: Alexandria via LeMat-Bulk, functional PBE-GGA.

a = 5.891 Å, b = 5.891 Å, c = 5.891 Å
α = 90.00°, β = 90.00°, γ = 90.00°
Fractional coordinates of all 5 atoms:
Sr (0.000, 0.000, 0.000)
V (0.500, 0.500, 0.500)
Sb (0.000, 0.000, 0.500)
Sb (0.000, 0.500, 0.000)
Sb (0.500, 0.000, 0.000)

Results
Crystal system: cubic
Formation energy from raw total energies in eV per atom: 1.26
Space-group type: Pm-3m
ρ in g/cm³: 4.09
Fermi-level density of states in states/eV/cell: 8.43


A relaxed SrV3Sb crystal. Source: Alexandria via LeMat-Bulk, functional PBE-GGA.

a = 4.671 Å, b = 4.671 Å, c = 4.671 Å
α = 90.00°, β = 90.00°, γ = 90.00°
Fractional coordinates of all 5 atoms:
Sr (0.000, 0.000, 0.000)
V (0.000, 0.000, 0.500)
V (0.000, 0.500, 0.000)
V (0.500, 0.000, 0.000)
Sb (0.500, 0.500, 0.500)

Results
Crystal system: cubic
Formation energy from raw total energies in eV per atom: 2.25
Space-group type: Pm-3m
ρ in g/cm³: 5.90
Fermi-level density of states in states/eV/cell: 6.81


A relaxed Sr2V2Sb crystal. Source: Alexandria via LeMat-Bulk, functional PBE-GGA.

a = 8.807 Å, b = 8.807 Å, c = 4.062 Å
α = 90.00°, β = 90.00°, γ = 90.00°
Fractional coordinates of all 10 atoms:
Sr (0.153, 0.347, 0.000)
Sr (0.347, 0.847, 0.000)
Sr (0.653, 0.153, 0.000)
Sr (0.847, 0.653, 0.000)
V (0.149, 0.649, 0.500)
V (0.351, 0.149, 0.500)
V (0.649, 0.851, 0.500)
V (0.851, 0.351, 0.500)
Sb (0.000, 0.000, 0.000)
Sb (0.500, 0.500, 0.000)

Results
Crystal system: tetragonal
Formation energy from raw total energies in eV per atom: 0.91
Space-group type: P4/mbm
ρ in g/cm³: 4.21
Fermi-level density of states in states/eV/cell: 13.47


A relaxed SrVSb2 crystal. Source: Alexandria via LeMat-Bulk, functional PBE-GGA.

a = 6.732 Å, b = 6.732 Å, c = 6.732 Å
α = 106.15°, β = 106.15°, γ = 116.33°
Fractional coordinates of all 8 atoms:
Sr (0.000, 0.000, 0.000)
Sr (0.750, 0.250, 0.500)
V (0.250, 0.750, 0.500)
V (0.500, 0.500, 0.000)
Sb (0.179, 0.625, 0.054)
Sb (0.375, 0.429, 0.554)
Sb (0.571, 0.125, 0.946)
Sb (0.875, 0.821, 0.446)

Results
Crystal system: tetragonal
Formation energy from raw total energies in eV per atom: -0.18
Space-group type: I-42d
ρ in g/cm³: 5.46
Fermi-level density of states in states/eV/cell: 7.06


A relaxed Sr2VSb crystal. Source: Alexandria via LeMat-Bulk, functional PBE-GGA.

a = 7.193 Å, b = 7.193 Å, c = 7.193 Å
α = 103.60°, β = 103.60°, γ = 122.00°
Fractional coordinates of all 8 atoms:
Sr (0.121, 0.125, 0.496)
Sr (0.375, 0.879, 0.004)
Sr (0.629, 0.625, 0.504)
Sr (0.875, 0.371, 0.996)
V (0.250, 0.750, 0.500)
V (0.500, 0.500, 0.000)
Sb (0.000, 0.000, 0.000)
Sb (0.750, 0.250, 0.500)

Results
Crystal system: tetragonal
Formation energy from raw total energies in eV per atom: 0.33
Space-group type: I-42d
ρ in g/cm³: 4.19
Fermi-level density of states in states/eV/cell: 8.13


- The lowest formation energy from raw total energies belongs to which entry?
  Sr3USb4